1.
DFT (PBE-GGA) results for an optimized crystal structure of Hf8Co2Sb.

The space group is C2/m (12). Its uncorrected formation energy is -15.19 kJ/mol of atoms. The total moment comes out at 0.0 μB per cell. The calculation puts the volume at 20.773 Å³/atom. Its energy is -9.063 eV/atom.

extended XYZ file:
```
11
Lattice="-3.034 2.063 -3.529 3.894 -4.267 -4.324 -5.068 -3.256 3.972" Properties=species:S:1:pos:R:3 pbc="T T T"
Hf -2.636 -4.136 -4.589
Hf -4.859 -3.886 -2.531
Hf -1.619 -3.824 -1.283
Hf 0.098 -2.978 -3.979
Hf -4.307 -2.482 0.098
Hf -2.589 -1.636 -2.598
Hf 0.651 -1.575 -1.350
Hf -1.572 -1.324 0.708
Co -2.451 -3.551 1.550
Co 1.277 -3.972 -1.902
Sb -1.517 1.031 -1.764
```

***

2.
DFT (PBE-GGA) results for an optimized crystal structure of AlCd2Ge2.

The space group is P4/mbm (127). The total moment comes out at 0.0 μB per cell. Its energy above the lowest structure with this stoichiometry is 124 meV/atom. The calculation puts the volume at 22.073 Å³/atom. Its energy relative to the elements is 0.32 eV/atom. Its energy is -2.642 eV/atom.

extended XYZ file:
```
10
Lattice="8.730 0.000 0.000 0.000 8.730 0.000 0.000 0.000 2.896" Properties=species:S:1:pos:R:3 pbc="T T T"
Ge 1.290 5.656 1.448
Ge 5.656 7.440 1.448
Ge 7.440 3.075 1.448
Ge 3.075 1.290 1.448
Al 0.000 0.000 0.000
Al 4.365 4.365 0.000
Cd 3.049 7.415 0.000
Cd 7.415 5.681 0.000
Cd 5.681 1.316 0.000
Cd 1.316 3.049 0.000
```

***

3.
DFT (PBE-GGA) results for an optimized crystal structure of La3PrPb.

The space group is C2/m (12). The total moment comes out at 0.0 μB per cell. Its energy above the lowest structure with this stoichiometry is 36 meV/atom. The calculation puts the volume at 35.147 Å³/atom. Its energy relative to the elements is -0.22 eV/atom. Its energy is -4.876 eV/atom.

extended XYZ file:
```
10
Lattice="5.133 0.000 0.000 -2.567 5.951 0.253 0.000 0.883 11.543" Properties=species:S:1:pos:R:3 pbc="T T T"
La 2.567 5.146 4.704
La 0.000 1.688 7.092
La 0.000 6.360 10.138
La 2.567 0.474 1.658
La 0.000 2.828 2.973
La 2.567 4.006 8.823
Pr 2.567 4.111 0.849
Pr 0.000 2.723 10.947
Pb 2.567 1.745 4.835
Pb 0.000 5.089 6.961
```

***

4.
DFT (PBE-GGA) results for an optimized crystal structure of LiHo2IrO5.

The space group is Immm (71). Its uncorrected formation energy is -214.81 kJ/mol of atoms. The total moment comes out at 0.0 μB per cell. The calculation puts the volume at 13.632 Å³/atom. Its energy is -7.195 eV/atom.

extended XYZ file:
```
9
Lattice="3.969 0.000 0.000 0.000 5.658 0.000 -1.985 -2.829 5.463" Properties=species:S:1:pos:R:3 pbc="T T T"
Li 0.000 2.829 0.000
Ho 0.000 0.000 2.288
Ho 1.985 2.829 3.175
Ir 1.985 0.000 0.000
O 1.985 4.357 1.625
O 0.000 -1.528 3.838
O 0.000 1.528 3.838
O 1.985 1.301 1.625
O 0.000 0.000 0.000
```

***

5.
DFT (PBE-GGA) results for an optimized crystal structure of KBa2Cl.

The space group is C2/m (12). Its uncorrected formation energy is -77.11 kJ/mol of atoms. The total moment comes out at 0.9 μB per cell. Its energy above the lowest structure with this stoichiometry is 30 meV/atom. The calculation puts the volume at 52.210 Å³/atom. Its energy is -2.497 eV/atom.

extended XYZ file:
```
4
Lattice="-4.038 -0.259 1.960 -0.333 -1.116 4.342 -0.699 11.085 5.074" Properties=species:S:1:pos:R:3 pbc="T T T"
K -3.803 7.283 8.532
Ba -4.306 -0.481 6.523
Ba -2.600 3.961 5.467
Cl -1.268 2.428 2.844
```

***

6.
DFT (PBE-GGA) results for an optimized crystal structure of KTl4Cd2Ga.

The space group is R-3m (166). The total moment comes out at 0.0 μB per cell. The calculation puts the volume at 30.234 Å³/atom. Its energy relative to the elements is 0.00 eV/atom. Its energy is -1.928 eV/atom.

extended XYZ file:
```
8
Lattice="5.328 0.000 0.000 2.664 4.614 0.000 2.664 1.538 9.839" Properties=species:S:1:pos:R:3 pbc="T T T"
K 0.000 0.000 0.000
Tl 5.328 3.076 7.872
Tl 7.992 4.614 3.928
Tl 2.664 1.538 5.910
Tl 5.328 3.076 1.967
Cd 7.992 4.614 7.246
Cd 2.664 1.538 2.593
Ga 5.328 3.076 4.919
```

***

7.
DFT (PBE-GGA) results for an optimized crystal structure of DyThZnPb.

The space group is F-43m (216). The total moment comes out at 0.0 μB per cell. The calculation puts the volume at 26.974 Å³/atom. Its energy relative to the elements is -0.23 eV/atom. Its energy is -4.479 eV/atom.

extended XYZ file:
```
4
Lattice="-0.655 -3.399 4.071 4.122 -2.932 1.723 2.228 1.050 4.742" Properties=species:S:1:pos:R:3 pbc="T T T"
Pb 0.000 0.000 0.000
Zn 2.847 -2.641 5.268
Th 1.424 -1.320 2.634
Dy 4.271 -3.961 7.902
```

***

8.
DFT (PBE-GGA) results for an optimized crystal structure of Pm2GeBPd6.

The space group is Pmmn (59). The total moment comes out at 0.0 μB per cell. The calculation puts the volume at 18.248 Å³/atom. Its energy relative to the elements is -0.70 eV/atom. Its energy is -5.898 eV/atom.

extended XYZ file:
```
20
Lattice="-5.547 -1.515 0.503 1.852 -6.972 -0.568 0.913 -0.464 8.679" Properties=species:S:1:pos:R:3 pbc="T T T"
Pm -1.187 -5.887 2.304
Pm 1.240 -2.337 6.638
Pm -0.791 -6.088 6.064
Pm 0.722 -2.074 1.720
Ge 1.717 -4.975 3.953
Ge -2.181 -2.985 0.070
B -1.968 -2.301 4.484
B 1.504 -5.660 -0.461
Pd -2.246 -1.974 2.404
Pd -1.805 -2.198 6.599
Pd 1.781 -5.987 1.619
Pd 2.253 -6.227 6.103
Pd 0.969 -7.492 3.897
Pd -1.937 -8.286 4.161
Pd -0.210 -3.413 4.240
Pd -2.938 -4.157 4.487
Pd -3.073 -5.318 0.039
Pd -0.255 -4.548 -0.216
Pd -1.434 -0.469 0.126
Pd -4.075 -1.190 0.365
```

***

9.
DFT (PBE-GGA) results for an optimized crystal structure of BaSrNp2O8.

The space group is I-4 (82). Its uncorrected formation energy is -260.41 kJ/mol of atoms. The total moment comes out at 2.0 μB per cell. The calculation puts the volume at 15.081 Å³/atom. Its energy is -8.462 eV/atom.

extended XYZ file:
```
12
Lattice="-1.186 5.576 0.730 -3.807 -0.247 -4.299 -1.450 -3.972 5.354" Properties=species:S:1:pos:R:3 pbc="T T T"
Ba -2.566 2.134 2.150
Sr 0.000 0.000 0.000
Np -2.497 2.664 -1.784
Np -3.876 -0.777 -0.365
O -4.337 3.581 -1.791
O -2.244 1.221 -0.341
O -4.173 0.189 1.416
O -1.420 -2.042 3.643
O -3.185 3.982 0.387
O -4.107 0.585 -1.877
O -3.748 -2.248 1.751
O -2.556 0.160 3.951
```

***

10.
DFT (PBE-GGA) results for an optimized crystal structure of Ce4Bi3H2.

The space group is C2/m (12). The total moment comes out at 5.0 μB per cell. Its energy above the lowest structure with this stoichiometry is 0 meV/atom. The calculation puts the volume at 25.218 Å³/atom. Its energy is -5.316 eV/atom.

extended XYZ file:
```
9
Lattice="4.389 0.000 1.296 1.779 5.690 2.055 -0.311 0.497 9.130" Properties=species:S:1:pos:R:3 pbc="T T T"
Ce 1.785 1.704 2.034
Ce 4.072 4.483 10.448
Ce 0.628 1.241 5.952
Ce 5.229 4.947 6.530
Bi 2.430 3.395 7.927
Bi 0.000 0.000 0.000
Bi 3.426 2.792 4.555
H 1.246 0.230 3.859
H 4.611 5.957 8.623
```

***

11.
DFT (PBE-GGA) results for an optimized crystal structure of TiAl4Re.

The space group is I4_1/amd (141). The total moment comes out at 1.8 μB per cell. The calculation puts the volume at 21.901 Å³/atom. Its energy relative to the elements is 0.55 eV/atom. Its energy is -5.336 eV/atom.

extended XYZ file:
```
12
Lattice="-3.452 0.524 6.174 6.305 -1.505 2.878 -0.295 5.611 -4.328" Properties=species:S:1:pos:R:3 pbc="T T T"
Ti 3.719 1.808 1.538
Ti 1.427 -0.490 4.526
Al -1.221 2.026 0.678
Al -2.484 4.096 1.300
Al 3.175 -0.050 6.610
Al 0.061 0.797 2.508
Al 0.852 4.176 2.771
Al -1.481 1.892 5.627
Al 1.030 4.338 -2.442
Al 0.547 3.277 5.138
Re 0.000 0.000 0.000
Re -1.160 2.823 3.186
```

***

12.
DFT (PBE-GGA) results for an optimized crystal structure of CrCdCu2.

The space group is P4mm (99). The total moment comes out at 0.0 μB per cell. The calculation puts the volume at 13.981 Å³/atom. Its energy relative to the elements is 0.34 eV/atom. Its energy is -4.342 eV/atom.

extended XYZ file:
```
4
Lattice="-2.305 0.979 -1.072 -0.519 -2.434 -1.107 -3.752 -2.026 6.216" Properties=species:S:1:pos:R:3 pbc="T T T"
Cd -1.862 -1.005 3.084
Cr -4.348 -2.313 3.774
Cu -0.009 -0.005 0.014
Cu -2.234 -1.172 0.273
```